4
Lattice="4.3894 0.0000 0.0000 2.1947 3.8013 0.0000 2.1947 1.2671 3.5839" Properties=species:S:1:pos:R:3 comment="TiGaMoRh | Alexandria | PBE | optimized geometry" formation_energy_ev_per_fu=-1.44 pbc="T T T"
Rh 4.3894 2.5342 1.7920
Ti 2.1947 1.2671 0.8960
Mo 0.0000 0.0000 0.0000
Ga 6.5841 3.8013 2.6879



10
Lattice="-6.6398 -2.2586 -1.9426 -3.0331 -5.0236 2.9194 -6.6254 1.0046 4.2051" Properties=species:S:1:pos:R:3 comment="NaCuAg2Cl6 | Alexandria | PBE | optimized geometry" formation_energy_uncorrected_mev_per_atom=-683 pbc="T T T"
Ag -7.9834 -3.3273 2.3944
Ag -13.0828 -1.3490 2.1982
Cl -10.1558 -1.3556 2.3458
Cl -6.2819 -5.0894 3.4447
Cl -6.5481 -2.3467 0.4680
Cl -6.8397 -1.5404 3.9444
Cl -9.7388 -3.6551 4.5487
Cl -9.5523 -4.7997 0.7653
Na -11.5780 -5.3861 3.1942
Cu -3.1981 -2.3181 0.3970



5
Lattice="-2.5602 3.2808 2.5340 -1.9588 -3.5822 2.6590 3.6535 0.3784 3.2012" Properties=species:S:1:pos:R:3 comment="ScFeSi3 | Alexandria | PBE | optimized geometry" formation_energy_uncorrected_mev_per_atom=1640 pbc="T T T"
Fe -0.4327 0.0385 4.1971
Si -1.2801 1.6404 1.2670
Si 1.8267 0.1892 1.6006
Si -0.9794 -1.7911 1.3295
Sc 0.0000 0.0000 0.0000



18
Lattice="-1.4517 4.8198 6.0320 4.4865 -3.8700 4.1720 2.5524 2.6271 -6.6012" Properties=species:S:1:pos:R:3 comment="KURuO6 | Alexandria | PBE | optimized geometry" formation_energy_uncorrected_mev_per_atom=-2033 pbc="T T T"
O 0.3824 2.5050 1.3742
O 5.7248 -0.6545 0.0682
O 4.7549 -1.8430 2.6170
O -0.1375 4.2313 3.5347
O 5.2048 1.0719 2.2287
O 2.5779 3.3378 -0.2142
O 0.8323 5.4199 0.9859
O 4.8790 1.8964 -0.3411
O 0.7082 1.6805 3.9439
O 3.0094 0.2390 3.8170
O 2.4894 1.9654 5.9775
O 3.0978 1.6115 -2.3747
Ru -0.7258 2.4099 3.0160
Ru 1.5174 0.4749 5.1020
U 0.5504 3.7234 -0.2846
U 1.2762 1.3135 -3.3006
K 3.3354 3.6830 2.9762
K 2.2518 -0.1061 0.6267



4
Lattice="6.2061 0.0036 0.0000 -2.0808 5.8469 0.0000 0.0000 0.0000 3.6435" Properties=species:S:1:pos:R:3 comment="La3Sc | Alexandria | PBE | optimized geometry" formation_energy_ev_per_fu=0.18 pbc="T T T"
La -1.0404 2.9235 1.8217
La 3.1031 0.0018 1.8217
La 0.0000 0.0000 0.0000
Sc 2.0627 2.9252 0.0000



5
Lattice="-0.8885 3.4756 -2.6506 2.1581 -2.0269 -3.3813 -3.8102 -1.9412 -1.2682" Properties=species:S:1:pos:R:3 comment="CuNi2PdW | Alexandria | PBE | optimized geometry" formation_energy_ev_per_fu=8.76 pbc="T T T"
Pd 0.0000 0.0000 0.0000
Ni -0.4443 1.7378 -1.3253
Ni -1.9051 -0.9706 -0.6341
W -1.2703 -0.2463 -3.6500
Cu 1.0791 -1.0135 -1.6906



5
Lattice="-2.7474 1.7552 -5.7429 -2.6574 -6.0187 -0.5683 -3.5829 1.3803 2.1359" Properties=species:S:1:pos:R:3 comment="BaNbI2N | Alexandria | PBE | optimized geometry" relative_energy_mev_per_atom=1599 formation_energy_uncorrected_mev_per_atom=1048 pbc="T T T"
Ba 0.0000 0.0000 0.0000
I -1.3737 0.8776 -2.8714
I -1.3287 -3.0094 -0.2841
N -1.7915 0.6901 1.0680
Nb -4.4938 -1.4416 -2.0876



8
Lattice="-0.6717 5.3721 0.1147 -3.4893 2.2183 3.4968 5.0559 3.2076 7.2032" Properties=species:S:1:pos:R:3 comment="LiPm4Tl2Ag | Alexandria | PBE | optimized geometry" formation_energy_ev_per_fu=-2.24 pbc="T T T"
Pm -1.8685 5.1555 3.2509
Pm 2.5562 2.9448 4.8756
Pm 2.7633 5.6425 7.5638
Pm -1.6614 7.8532 5.9392
Ag 0.4474 5.3990 5.4074
Li 0.0000 0.0000 0.0000
Tl 0.0838 2.6848 2.5734
Tl 0.8111 8.1132 8.2413



| no. | total magnetic moment (μB per formula unit) | V (Å³ per cell) | calculated total energy (eV/atom) |
| --- | --- | --- | --- |
| 1 | 0.00 | 59.80 | -7.637 |
| 2 | 0.58 | 245.19 | -2.903 |
| 3 | 0.23 | 115.66 | -4.572 |
| 4 | 1.16 | 303.57 | -7.745 |
| 5 | 0.00 | 132.24 | -5.234 |
| 6 | 4.65 | 89.41 | -5.009 |
| 7 | 3.72 | 191.61 | -3.635 |
| 8 | 0.57 | 224.23 | -3.842 |